No. 1
Compound: Li2CeErSe4
Source: Alexandria
Functional: PBE-GGA
Structure: relaxed

Lattice parameters (Å, degrees): 6.917 4.126 7.152 90.00 110.12 90.00
Space group P2/m (No. 10)
Inequivalent atoms, fractional coordinates:
Li (0.000, 0.000, 0.000) (multiplicity 1)
Li (0.000, 0.500, 0.500) (multiplicity 1)
Ce (0.500, 0.000, 0.500) (multiplicity 1)
Er (0.500, 0.500, 0.000) (multiplicity 1)
Se (0.242, 0.500, 0.238) (multiplicity 2)
Se (0.247, 0.000, 0.757) (multiplicity 2)

The energy relative to the elements, uncorrected comes out at -13.1 eV per formula unit.


No. 2
Compound: CsPd2N
Source: Alexandria
Functional: PBE-GGA
Structure: relaxed

Lattice parameters (Å, degrees): 6.048 6.048 10.386 90.00 90.00 90.00
Space group I4_1/amd (No. 141, origin choice 2)
Inequivalent atoms, fractional coordinates:
Cs (0.000, 0.250, 0.375) (multiplicity 4)
Pd (0.000, 0.000, 0.000) (multiplicity 8)
N (0.000, 0.250, 0.875) (multiplicity 4)

The energy relative to the elements, uncorrected comes out at 0.7 eV per formula unit.


No. 3
Compound: Ca2Mg2Pt
Source: Alexandria
Functional: PBE-GGA
Structure: relaxed

Lattice parameters (Å, degrees): 7.036 7.036 5.238 90.00 90.00 90.00
Space group P4/mbm (No. 127)
Inequivalent atoms, fractional coordinates:
Ca (0.181, 0.319, 0.000) (multiplicity 4)
Mg (0.147, 0.647, 0.500) (multiplicity 4)
Pt (0.000, 0.000, 0.500) (multiplicity 2)

The value obtained for the final energy is -29.39 eV per cell.


No. 4
Compound: Mg2TaW
Source: Alexandria
Functional: PBE-GGA
Structure: relaxed

Lattice parameters (Å, degrees): 7.605 7.605 5.326 90.00 90.00 90.00
Space group I-42d (No. 122)
Inequivalent atoms, fractional coordinates:
Mg (0.240, 0.250, 0.125) (multiplicity 8)
Ta (0.000, 0.000, 0.500) (multiplicity 4)
W (0.000, 0.000, 0.000) (multiplicity 4)

The value obtained for the final energy is -94.22 eV per cell.


No. 5
Compound: Li3FeAs
Source: Alexandria
Functional: PBE-GGA
Structure: relaxed

Lattice parameters (Å, degrees): 4.584 4.584 4.584 90.00 90.00 90.00
Space group Pm-3m (No. 221)
Inequivalent atoms, fractional coordinates:
Li (0.000, 0.000, 0.500) (multiplicity 3)
Fe (0.000, 0.000, 0.000) (multiplicity 1)
As (0.500, 0.500, 0.500) (multiplicity 1)

The value obtained for the final energy is -15.65 eV per cell.


No. 6
Compound: YMnFe
Source: Alexandria
Functional: PBE-GGA
Structure: relaxed

Lattice parameters (Å, degrees): 6.472 6.472 6.472 90.00 90.00 90.00
Space group F-43m (No. 216)
Inequivalent atoms, fractional coordinates:
Y (0.000, 0.000, 0.000) (multiplicity 4)
Mn (0.250, 0.250, 0.750) (multiplicity 4)
Fe (0.250, 0.250, 0.250) (multiplicity 4)

The value obtained for the final energy is -82.44 eV per cell.


No. 7
Compound: TeBrCl2
Source: Alexandria
Functional: PBE-GGA
Structure: relaxed

Lattice parameters (Å, degrees): 3.192 3.192 11.430 90.00 90.00 90.00
Space group P4/mmm (No. 123)
Inequivalent atoms, fractional coordinates:
Te (0.000, 0.000, 0.000) (multiplicity 1)
Br (0.000, 0.000, 0.500) (multiplicity 1)
Cl (0.500, 0.500, 0.174) (multiplicity 2)

The energy relative to the elements, uncorrected comes out at 0.9 eV per formula unit.


No. 8
Compound: ScTcRh2
Source: Alexandria
Functional: PBE-GGA
Structure: relaxed

Lattice parameters (Å, degrees): 2.847 2.847 7.640 90.00 90.00 90.00
Space group P4/mmm (No. 123)
Inequivalent atoms, fractional coordinates:
Sc (0.000, 0.000, 0.000) (multiplicity 1)
Tc (0.000, 0.000, 0.500) (multiplicity 1)
Rh (0.500, 0.500, 0.264) (multiplicity 2)

The value obtained for the final energy is -32.88 eV per cell.


No. 9
Compound: MgAgF2
Source: Alexandria
Functional: PBE-GGA
Structure: relaxed

Lattice parameters (Å, degrees): 3.0131 3.0131 26.7310 90.00 90.00 120.00
Space group R-3m (No. 166, hexagonal axes)
Inequivalent atoms, fractional coordinates:
Mg (0.0000, 0.0000, 0.0000) (multiplicity 3)
Ag (0.0000, 0.0000, 0.5000) (multiplicity 3)
F (0.0000, 0.0000, 0.3699) (multiplicity 6)

The energy relative to the elements, uncorrected comes out at -9.6 eV per formula unit.


No. 10
Compound: MgAs2S2O4F12
Source: Alexandria
Functional: PBE-GGA
Structure: relaxed

Lattice parameters (Å, degrees): 10.334 10.630 15.927 90.00 127.92 90.00
Space group P2_1/c (No. 14)
Inequivalent atoms, fractional coordinates:
Mg (0.003, 0.231, 0.244) (multiplicity 4)
As (0.184, 0.010, 0.690) (multiplicity 4)
As (0.273, 0.525, 0.762) (multiplicity 4)
S (0.283, 0.195, 0.007) (multiplicity 4)
S (0.328, 0.725, 0.525) (multiplicity 4)
O (0.163, 0.735, 0.424) (multiplicity 4)
O (0.175, 0.227, 0.412) (multiplicity 4)
O (0.270, 0.061, 0.990) (multiplicity 4)
O (0.461, 0.720, 0.519) (multiplicity 4)
F (0.026, 0.514, 0.913) (multiplicity 4)
F (0.119, 0.635, 0.742) (multiplicity 4)
F (0.122, 0.099, 0.225) (multiplicity 4)
F (0.140, 0.598, 0.261) (multiplicity 4)
F (0.152, 0.138, 0.753) (multiplicity 4)
F (0.175, 0.540, 0.625) (multiplicity 4)
F (0.212, 0.619, 0.135) (multiplicity 4)
F (0.225, 0.122, 0.629) (multiplicity 4)
F (0.345, 0.509, 0.893) (multiplicity 4)
F (0.388, 0.007, 0.805) (multiplicity 4)
F (0.405, 0.650, 0.794) (multiplicity 4)
F (0.407, 0.090, 0.277) (multiplicity 4)

The energy relative to the elements, uncorrected comes out at -42.2 eV per formula unit.


No. 11
Compound: Pr2FeSi3Ni12
Source: Alexandria
Functional: PBE-GGA
Structure: relaxed

Lattice parameters (Å, degrees): 6.1064 6.1064 24.7091 90.00 90.00 120.00
Space group R-3m (No. 166, hexagonal axes)
Inequivalent atoms, fractional coordinates:
Pr (0.0000, 0.0000, 0.1523) (multiplicity 6)
Fe (0.0000, 0.0000, 0.5000) (multiplicity 3)
Si (0.0000, 0.5000, 0.0000) (multiplicity 9)
Ni (0.0577, 0.5289, 0.0938) (multiplicity 18)
Ni (0.0643, 0.5321, 0.6225) (multiplicity 18)

The energy relative to the elements, uncorrected comes out at -1.1 eV per formula unit.


No. 12
Compound: La2NbOs
Source: Alexandria
Functional: PBE-GGA
Structure: relaxed

Lattice parameters (Å, degrees): 7.311 7.311 7.311 90.00 90.00 90.00
Space group Fm-3m (No. 225)
Inequivalent atoms, fractional coordinates:
La (0.250, 0.250, 0.250) (multiplicity 8)
Nb (0.000, 0.000, 0.000) (multiplicity 4)
Os (0.000, 0.000, 0.500) (multiplicity 4)

The value obtained for the final energy is -116.69 eV per cell.


No. 13
Compound: Mg3NiAg2
Source: Alexandria
Functional: PBE-GGA
Structure: relaxed

Lattice parameters (Å, degrees): 3.193 3.193 10.071 90.00 90.00 90.00
Space group P4/mmm (No. 123)
Inequivalent atoms, fractional coordinates:
Mg (0.000, 0.000, 0.000) (multiplicity 1)
Mg (0.000, 0.000, 0.356) (multiplicity 2)
Ni (0.500, 0.500, 0.500) (multiplicity 1)
Ag (0.500, 0.500, 0.180) (multiplicity 2)

The value obtained for the final energy is -17.46 eV per cell.


No. 14
Compound: TiAs2RhBr
Source: Alexandria
Functional: PBE-GGA
Structure: relaxed

Lattice parameters (Å, degrees): 4.748 4.748 5.215 90.00 90.00 90.00
Space group P4/mmm (No. 123)
Inequivalent atoms, fractional coordinates:
Ti (0.000, 0.000, 0.000) (multiplicity 1)
As (0.000, 0.500, 0.500) (multiplicity 2)
Rh (0.500, 0.500, 0.500) (multiplicity 1)
Br (0.500, 0.500, 0.000) (multiplicity 1)

The energy relative to the elements, uncorrected comes out at 2.3 eV per formula unit.


No. 15
Compound: Rb2LiYI6
Source: Alexandria
Functional: PBE-GGA
Structure: relaxed

Lattice parameters (Å, degrees): 8.314 8.592 14.460 90.00 124.89 90.00
Space group P2_1/c (No. 14)
Inequivalent atoms, fractional coordinates:
Rb (0.229, 0.066, 0.249) (multiplicity 4)
Li (0.000, 0.000, 0.500) (multiplicity 2)
Y (0.500, 0.000, 0.000) (multiplicity 2)
I (0.166, 0.202, 0.962) (multiplicity 4)
I (0.264, 0.707, 0.964) (multiplicity 4)
I (0.323, 0.008, 0.749) (multiplicity 4)

The energy relative to the elements, uncorrected comes out at -14.0 eV per formula unit.


No. 16
Compound: Mg8Tl3Sn2
Source: Alexandria
Functional: PBE-GGA
Structure: relaxed

Lattice parameters (Å, degrees): 9.770 14.378 4.839 90.00 90.00 90.00
Space group Cmmm (No. 65)
Inequivalent atoms, fractional coordinates:
Mg (0.000, 0.125, 0.000) (multiplicity 4)
Mg (0.000, 0.366, 0.000) (multiplicity 4)
Mg (0.244, 0.130, 0.500) (multiplicity 8)
Tl (0.000, 0.500, 0.500) (multiplicity 2)
Tl (0.241, 0.000, 0.000) (multiplicity 4)
Sn (0.000, 0.247, 0.500) (multiplicity 4)

The value obtained for the final energy is -57.19 eV per cell.


No. 17
Compound: AgSNF2
Source: Alexandria
Functional: PBE-GGA
Structure: relaxed

Lattice parameters (Å, degrees): 4.553 4.553 3.319 90.00 90.00 90.00
Space group P4/mmm (No. 123)
Inequivalent atoms, fractional coordinates:
Ag (0.000, 0.000, 0.000) (multiplicity 1)
S (0.500, 0.500, 0.500) (multiplicity 1)
N (0.500, 0.500, 0.000) (multiplicity 1)
F (0.000, 0.500, 0.500) (multiplicity 2)

The energy relative to the elements, uncorrected comes out at -0.1 eV per formula unit.


No. 18
Compound: Ho3AlSi6Ni2
Source: Alexandria
Functional: PBE-GGA
Structure: relaxed

Lattice parameters (Å, degrees): 5.5515 5.5515 8.2542 90.00 90.00 120.00
Space group P-3m1 (No. 164)
Inequivalent atoms, fractional coordinates:
Ho (0.0000, 0.0000, 0.0000) (multiplicity 1)
Ho (0.3333, 0.6667, 0.5968) (multiplicity 2)
Al (0.0000, 0.0000, 0.5000) (multiplicity 1)
Si (0.1860, 0.3720, 0.2721) (multiplicity 6)
Ni (0.3333, 0.6667, 0.0499) (multiplicity 2)

The energy relative to the elements, uncorrected comes out at -3.4 eV per formula unit.


No. 19
Compound: K5Li4
Source: Alexandria
Functional: PBE-GGA
Structure: relaxed

Lattice parameters (Å, degrees): 12.336 12.336 5.558 90.00 90.00 90.00
Space group I4/mmm (No. 139)
Inequivalent atoms, fractional coordinates:
K (0.000, 0.000, 0.000) (multiplicity 2)
K (0.175, 0.175, 0.500) (multiplicity 8)
Li (0.000, 0.379, 0.000) (multiplicity 8)

The value obtained for the final energy is -23.69 eV per cell.


No. 20
Compound: NaAg4Se3
Source: Alexandria
Functional: PBE-GGA
Structure: relaxed

Lattice parameters (Å, degrees): 4.276 4.276 10.164 90.00 90.00 90.00
Space group P4/mmm (No. 123)
Inequivalent atoms, fractional coordinates:
Na (0.000, 0.000, 0.000) (multiplicity 1)
Ag (0.000, 0.500, 0.319) (multiplicity 4)
Se (0.000, 0.000, 0.500) (multiplicity 1)
Se (0.500, 0.500, 0.158) (multiplicity 2)

The energy relative to the elements, uncorrected comes out at -1.8 eV per formula unit.